Entry 1:
Material: CuHgTe2
Method: DFT, GGA-PBE
State: relaxed

## Properties
As for the crystal system: trigonal. For the total energy, the calculation gives -0.1863 Ry/atom. The value obtained for the uncorrected formation energy is 0.14 eV per atom. The value obtained for the density of states at the Fermi level is 0.895 states/eV/atom.

Cell: 10.3642 10.3642 10.3642 Å, 20.08 20.08 20.08°
Fractional positions:
Te  0.5289  0.5289  0.5289
Te  0.9711  0.9711  0.9711
Hg  0.7500  0.7500  0.7500
Cu  0.2500  0.2500  0.2500

=====

Entry 2:
Material: Ni3S2
Method: DFT, GGA-PBE
State: relaxed

## Properties
As for the crystal system: monoclinic. For the total energy, the calculation gives -0.3941 Ry/atom. The value obtained for the uncorrected formation energy is -0.24 eV per atom. The value obtained for the density of states at the Fermi level is 0.975 states/eV/atom.

Cell: 5.1991 5.3553 6.0075 Å, 63.56 64.54 90.00°
Fractional positions:
Ni  0.7615  0.3268  0.2470
Ni  0.7502  0.8990  0.0000
Ni  0.2498  0.1010  0.0000
S  0.9132  0.6647  0.2993
S  0.0868  0.3353  0.7007
Ni  0.2385  0.6732  0.7530
S  0.4131  0.0358  0.2994
Ni  0.7387  0.5741  0.7529
Ni  0.2613  0.4259  0.2471
S  0.5869  0.9642  0.7006

=====

Entry 3:
Material: LiEuHgRh
Method: DFT, GGA-PBE
State: relaxed

## Properties
As for the crystal system: cubic. As for the energy of formation: -0.2935 eV per atom. For the total energy, the calculation gives -0.3862 Ry/atom. The value obtained for the density of states at the Fermi level is 2.245 states/eV/atom.

Cell: 4.8436 4.8436 4.8436 Å, 60.00 60.00 60.00°
Site moments in Bohr magnetons follow the coordinates.
Fractional positions:
Hg  0.2500  0.2500  0.2500  0.01
Rh  0.5000  0.5000  0.5000  -0.10
Li  0.0000  0.0000  0.0000  0.03
Eu  0.7500  0.7500  0.7500  6.80

=====

Entry 4:
Material: NbTlCd2O6
Method: DFT, GGA-PBE
State: relaxed

## Properties
As for the crystal system: monoclinic. For the total energy, the calculation gives -0.4298 Ry/atom. The value obtained for the uncorrected formation energy is -1.45 eV per atom.

Cell: 5.6365 5.7463 8.2469 Å, 90.00 90.35 90.00°
Fractional positions:
O  0.1635  0.2061  0.0739
Cd  0.9957  0.0432  0.7455
Tl  0.0000  0.5000  0.5000
O  0.1979  0.1723  0.4488
O  0.8858  0.5707  0.2316
O  0.3365  0.7061  0.4261
O  0.1142  0.4293  0.7684
Cd  0.5043  0.5432  0.7545
Nb  0.0000  0.5000  0.0000
O  0.6142  0.0707  0.2684
O  0.3858  0.9293  0.7316
Cd  0.0043  0.9568  0.2545
Nb  0.5000  0.0000  0.5000
Tl  0.5000  0.0000  0.0000
O  0.8365  0.7939  0.9261
O  0.3021  0.6723  0.0512
Cd  0.4957  0.4568  0.2455
O  0.6979  0.3277  0.9488
O  0.8021  0.8277  0.5512
O  0.6635  0.2939  0.5739